[1]
# PmSn12Pd6

An optimized crystal structure of PmSn12Pd6 (GGA-PBE, the Alexandria database). Values from VASP.

```
&SYSTEM
  ibrav = 0, nat = 19, ntyp = 3
/
ATOMIC_SPECIES
Pm 145.00 Pm.upf
Sn 118.71 Sn.upf
Pd 106.42 Pd.upf
CELL_PARAMETERS angstrom
6.538 3.775 3.024
-6.538 3.775 3.024
0.000 -7.550 3.024
ATOMIC_POSITIONS crystal
Pm 0.000 0.000 0.000
Sn 0.122 0.500 0.878
Sn 0.122 0.878 0.500
Sn 0.131 0.386 0.386
Sn 0.386 0.131 0.386
Sn 0.386 0.386 0.131
Sn 0.500 0.122 0.878
Sn 0.500 0.878 0.122
Sn 0.614 0.614 0.869
Sn 0.614 0.869 0.614
Sn 0.869 0.614 0.614
Sn 0.878 0.122 0.500
Sn 0.878 0.500 0.122
Pd 0.290 0.290 0.699
Pd 0.290 0.699 0.290
Pd 0.301 0.710 0.710
Pd 0.699 0.290 0.290
Pd 0.710 0.301 0.710
Pd 0.710 0.710 0.301
```

Energy of formation ... -5.47 eV/f.u.
Space group ... R-3m

=====

[2]
# Pm3Sn7Pd2

An optimized crystal structure of Pm3Sn7Pd2 (GGA-PBE, the Alexandria database). Values from VASP.

```
&SYSTEM
  ibrav = 0, nat = 12, ntyp = 3
/
ATOMIC_SPECIES
Pm 145.00 Pm.upf
Sn 118.71 Sn.upf
Pd 106.42 Pd.upf
CELL_PARAMETERS angstrom
4.725 0.000 0.000
0.000 4.582 0.000
-2.358 0.000 14.134
ATOMIC_POSITIONS crystal
Pm 0.000 0.000 0.000
Pm 0.316 0.500 0.632
Pm 0.684 0.500 0.368
Sn 0.084 0.500 0.170
Sn 0.223 0.000 0.445
Sn 0.412 0.000 0.826
Sn 0.500 0.500 0.000
Sn 0.588 0.000 0.174
Sn 0.777 0.000 0.555
Sn 0.916 0.500 0.830
Pd 0.132 0.000 0.263
Pd 0.868 0.000 0.737
```

Energy of formation ... -7.48 eV/f.u.
Space group ... P2/m
Energy above the lowest structure with this stoichiometry ... 0.000 eV per atom

=====

[3]
# Pm2Sn4Pd9

An optimized crystal structure of Pm2Sn4Pd9 (GGA-PBE, the Alexandria database). Values from VASP.

```
&SYSTEM
  ibrav = 0, nat = 15, ntyp = 3
/
ATOMIC_SPECIES
Pm 145.00 Pm.upf
Sn 118.71 Sn.upf
Pd 106.42 Pd.upf
CELL_PARAMETERS angstrom
4.561 0.000 0.000
-2.281 3.950 0.000
0.000 0.000 16.519
ATOMIC_POSITIONS crystal
Pm 0.333 0.667 0.254
Pm 0.667 0.333 0.746
Sn 0.333 0.667 0.607
Sn 0.333 0.667 0.893
Sn 0.667 0.333 0.107
Sn 0.667 0.333 0.393
Pd 0.000 0.000 0.000
Pd 0.000 0.000 0.167
Pd 0.000 0.000 0.350
Pd 0.000 0.000 0.650
Pd 0.000 0.000 0.833
Pd 0.333 0.667 0.064
Pd 0.333 0.667 0.445
Pd 0.667 0.333 0.555
Pd 0.667 0.333 0.936
```

Energy of formation ... -9.62 eV/f.u.
Space group ... P-3m1

=====

[4]
# Pm6SnPd5

An optimized crystal structure of Pm6SnPd5 (GGA-PBE, the Alexandria database). Values from VASP.

```
&SYSTEM
  ibrav = 0, nat = 12, ntyp = 3
/
ATOMIC_SPECIES
Pm 145.00 Pm.upf
Sn 118.71 Sn.upf
Pd 106.42 Pd.upf
CELL_PARAMETERS angstrom
3.858 -5.773 0.000
3.858 5.773 0.000
-1.840 0.000 7.133
ATOMIC_POSITIONS crystal
Pm 0.041 0.397 0.720
Pm 0.199 0.199 0.215
Pm 0.397 0.041 0.720
Pm 0.603 0.959 0.280
Pm 0.801 0.801 0.785
Pm 0.959 0.603 0.280
Sn 0.500 0.500 0.000
Pd 0.000 0.000 0.500
Pd 0.202 0.798 0.000
Pd 0.373 0.627 0.500
Pd 0.627 0.373 0.500
Pd 0.798 0.202 0.000
```

Energy of formation ... -7.68 eV/f.u.
Space group ... C2/m

=====

[5]
# Pm2Sn7Pd12

An optimized crystal structure of Pm2Sn7Pd12 (GGA-PBE, the Alexandria database). Values from VASP.

```
&SYSTEM
  ibrav = 0, nat = 21, ntyp = 3
/
ATOMIC_SPECIES
Pm 145.00 Pm.upf
Sn 118.71 Sn.upf
Pd 106.42 Pd.upf
CELL_PARAMETERS angstrom
10.875 0.000 0.000
-5.438 9.418 0.000
0.000 0.000 4.057
ATOMIC_POSITIONS crystal
Pm 0.333 0.667 0.240
Pm 0.667 0.333 0.760
Sn 0.000 0.000 0.500
Sn 0.116 0.709 0.741
Sn 0.291 0.408 0.741
Sn 0.408 0.116 0.259
Sn 0.592 0.884 0.741
Sn 0.709 0.592 0.259
Sn 0.884 0.291 0.259
Pd 0.063 0.441 0.755
Pd 0.114 0.259 0.238
Pd 0.145 0.886 0.238
Pd 0.259 0.145 0.762
Pd 0.378 0.937 0.755
Pd 0.441 0.378 0.245
Pd 0.559 0.622 0.755
Pd 0.622 0.063 0.245
Pd 0.741 0.855 0.238
Pd 0.855 0.114 0.762
Pd 0.886 0.741 0.762
Pd 0.937 0.559 0.245
```

Energy of formation ... -13.02 eV/f.u.
Space group ... P-3

=====

[6]
# PmSn4Pd6

An optimized crystal structure of PmSn4Pd6 (GGA-PBE, the Alexandria database). Values from VASP.

```
&SYSTEM
  ibrav = 0, nat = 11, ntyp = 3
/
ATOMIC_SPECIES
Pm 145.00 Pm.upf
Sn 118.71 Sn.upf
Pd 106.42 Pd.upf
CELL_PARAMETERS angstrom
7.713 0.000 0.000
-3.856 6.679 0.000
0.000 0.000 4.205
ATOMIC_POSITIONS crystal
Pm 0.000 0.000 0.000
Sn 0.333 0.667 0.000
Sn 0.384 0.192 0.500
Sn 0.808 0.192 0.500
Sn 0.808 0.616 0.500
Pd 0.203 0.405 0.500
Pd 0.203 0.797 0.500
Pd 0.537 0.074 0.000
Pd 0.537 0.463 0.000
Pd 0.595 0.797 0.500
Pd 0.926 0.463 0.000
```

Energy of formation ... -7.04 eV/f.u.
Space group ... P-6m2

=====

[7]
# Pm2Sn6Pd3

An optimized crystal structure of Pm2Sn6Pd3 (GGA-PBE, the Alexandria database). Values from VASP.

```
&SYSTEM
  ibrav = 0, nat = 11, ntyp = 3
/
ATOMIC_SPECIES
Pm 145.00 Pm.upf
Sn 118.71 Sn.upf
Pd 106.42 Pd.upf
CELL_PARAMETERS angstrom
8.142 0.000 0.000
-4.071 7.051 0.000
0.000 0.000 4.689
ATOMIC_POSITIONS crystal
Pm 0.333 0.667 0.000
Pm 0.667 0.333 0.000
Sn 0.000 0.211 0.000
Sn 0.000 0.667 0.500
Sn 0.211 0.000 0.000
Sn 0.333 0.333 0.500
Sn 0.667 0.000 0.500
Sn 0.789 0.789 0.000
Pd 0.000 0.347 0.500
Pd 0.347 0.000 0.500
Pd 0.653 0.653 0.500
```

Energy of formation ... -6.47 eV/f.u.
Space group ... P-62m

=====

[8]
# Pm5SnPd4

An optimized crystal structure of Pm5SnPd4 (GGA-PBE, the Alexandria database). Values from VASP.

```
&SYSTEM
  ibrav = 0, nat = 10, ntyp = 3
/
ATOMIC_SPECIES
Pm 145.00 Pm.upf
Sn 118.71 Sn.upf
Pd 106.42 Pd.upf
CELL_PARAMETERS angstrom
3.565 0.000 0.000
0.000 3.565 0.000
0.000 0.000 19.096
ATOMIC_POSITIONS crystal
Pm 0.000 0.000 0.000
Pm 0.000 0.000 0.193
Pm 0.000 0.000 0.384
Pm 0.000 0.000 0.616
Pm 0.000 0.000 0.807
Sn 0.500 0.500 0.500
Pd 0.500 0.500 0.095
Pd 0.500 0.500 0.285
Pd 0.500 0.500 0.715
Pd 0.500 0.500 0.905
```

Energy of formation ... -7.46 eV/f.u.
Space group ... P4/mmm

=====

[9]
# Pm2SnPd6

An optimized crystal structure of Pm2SnPd6 (GGA-PBE, the Alexandria database). Values from VASP.

```
&SYSTEM
  ibrav = 0, nat = 9, ntyp = 3
/
ATOMIC_SPECIES
Pm 145.00 Pm.upf
Sn 118.71 Sn.upf
Pd 106.42 Pd.upf
CELL_PARAMETERS angstrom
4.975 -2.910 0.000
4.975 2.910 0.000
-1.490 0.000 6.152
ATOMIC_POSITIONS crystal
Pm 0.144 0.144 0.331
Pm 0.856 0.856 0.669
Sn 0.500 0.500 0.500
Pd 0.105 0.633 0.174
Pd 0.367 0.895 0.826
Pd 0.370 0.370 0.811
Pd 0.630 0.630 0.189
Pd 0.633 0.105 0.174
Pd 0.895 0.367 0.826
```

Energy of formation ... -6.58 eV/f.u.
Space group ... C2/m
Energy above the lowest structure with this stoichiometry ... 0.000 eV per atom

=====

[10]
# Pm2Sn4Pd5

An optimized crystal structure of Pm2Sn4Pd5 (GGA-PBE, the Alexandria database). Values from VASP.

```
&SYSTEM
  ibrav = 0, nat = 11, ntyp = 3
/
ATOMIC_SPECIES
Pm 145.00 Pm.upf
Sn 118.71 Sn.upf
Pd 106.42 Pd.upf
CELL_PARAMETERS angstrom
0.000 5.112 8.220
2.935 0.000 8.220
2.935 5.112 0.000
ATOMIC_POSITIONS crystal
Pm 0.150 0.150 0.850
Pm 0.850 0.850 0.150
Sn 0.217 0.526 0.474
Sn 0.474 0.783 0.217
Sn 0.526 0.217 0.783
Sn 0.783 0.474 0.526
Pd 0.000 0.000 0.500
Pd 0.250 0.250 0.250
Pd 0.500 0.500 0.000
Pd 0.500 0.500 0.500
Pd 0.750 0.750 0.750
```

Energy of formation ... -6.70 eV/f.u.
Space group ... Fmmm

=====

[11]
# Pm3SnPd12

An optimized crystal structure of Pm3SnPd12 (GGA-PBE, the Alexandria database). Values from VASP.

```
&SYSTEM
  ibrav = 0, nat = 16, ntyp = 3
/
ATOMIC_SPECIES
Pm 145.00 Pm.upf
Sn 118.71 Sn.upf
Pd 106.42 Pd.upf
CELL_PARAMETERS angstrom
4.163 0.000 0.000
0.000 4.163 0.000
0.000 0.000 16.497
ATOMIC_POSITIONS crystal
Pm 0.000 0.000 0.000
Pm 0.000 0.000 0.254
Pm 0.000 0.000 0.746
Sn 0.000 0.000 0.500
Pd 0.000 0.500 0.128
Pd 0.000 0.500 0.384
Pd 0.000 0.500 0.616
Pd 0.000 0.500 0.872
Pd 0.500 0.000 0.128
Pd 0.500 0.000 0.384
Pd 0.500 0.000 0.616
Pd 0.500 0.000 0.872
Pd 0.500 0.500 0.000
Pd 0.500 0.500 0.257
Pd 0.500 0.500 0.500
Pd 0.500 0.500 0.743
```

Energy of formation ... -11.51 eV/f.u.
Space group ... P4/mmm

=====

[12]
# Pm3Sn5Pd

An optimized crystal structure of Pm3Sn5Pd (GGA-PBE, the Alexandria database). Values from VASP.

```
&SYSTEM
  ibrav = 0, nat = 18, ntyp = 3
/
ATOMIC_SPECIES
Pm 145.00 Pm.upf
Sn 118.71 Sn.upf
Pd 106.42 Pd.upf
CELL_PARAMETERS angstrom
9.240 0.000 0.000
-4.620 8.002 0.000
0.000 0.000 6.344
ATOMIC_POSITIONS crystal
Pm 0.000 0.388 0.250
Pm 0.000 0.612 0.750
Pm 0.388 0.000 0.250
Pm 0.388 0.388 0.750
Pm 0.612 0.000 0.750
Pm 0.612 0.612 0.250
Sn 0.000 0.253 0.750
Sn 0.000 0.747 0.250
Sn 0.253 0.000 0.750
Sn 0.253 0.253 0.250
Sn 0.333 0.667 0.000
Sn 0.333 0.667 0.500
Sn 0.667 0.333 0.000
Sn 0.667 0.333 0.500
Sn 0.747 0.000 0.250
Sn 0.747 0.747 0.750
Pd 0.000 0.000 0.000
Pd 0.000 0.000 0.500
```

Energy of formation ... -5.36 eV/f.u.
Space group ... P6_3/mcm

=====

[13]
# Pm2SnPd4

An optimized crystal structure of Pm2SnPd4 (GGA-PBE, the Alexandria database). Values from VASP.

```
&SYSTEM
  ibrav = 0, nat = 14, ntyp = 3
/
ATOMIC_SPECIES
Pm 145.00 Pm.upf
Sn 118.71 Sn.upf
Pd 106.42 Pd.upf
CELL_PARAMETERS angstrom
4.934 0.000 0.000
0.000 4.934 0.000
0.000 0.000 14.683
ATOMIC_POSITIONS crystal
Pm 0.000 0.000 0.135
Pm 0.000 0.000 0.865
Pm 0.500 0.500 0.365
Pm 0.500 0.500 0.635
Sn 0.000 0.000 0.500
Sn 0.500 0.500 0.000
Pd 0.000 0.000 0.320
Pd 0.000 0.000 0.680
Pd 0.000 0.500 0.000
Pd 0.000 0.500 0.500
Pd 0.500 0.000 0.000
Pd 0.500 0.000 0.500
Pd 0.500 0.500 0.180
Pd 0.500 0.500 0.820
```

Energy of formation ... -1.94 eV/f.u.
Space group ... I4/mmm

=====

[14]
# Pm2Sn2Pd7

An optimized crystal structure of Pm2Sn2Pd7 (GGA-PBE, the Alexandria database). Values from VASP.

```
&SYSTEM
  ibrav = 0, nat = 11, ntyp = 3
/
ATOMIC_SPECIES
Pm 145.00 Pm.upf
Sn 118.71 Sn.upf
Pd 106.42 Pd.upf
CELL_PARAMETERS angstrom
5.072 -4.756 0.000
5.072 4.756 0.000
-2.502 0.000 4.495
ATOMIC_POSITIONS crystal
Pm 0.213 0.787 0.000
Pm 0.787 0.213 0.000
Sn 0.289 0.289 0.543
Sn 0.711 0.711 0.457
Pd 0.000 0.000 0.500
Pd 0.072 0.586 0.329
Pd 0.399 0.399 0.141
Pd 0.414 0.928 0.671
Pd 0.586 0.072 0.329
Pd 0.601 0.601 0.859
Pd 0.928 0.414 0.671
```

Energy of formation ... -7.42 eV/f.u.
Space group ... C2/m

=====

[15]
# Pm2Sn2Pd3

An optimized crystal structure of Pm2Sn2Pd3 (GGA-PBE, the Alexandria database). Values from VASP.

```
&SYSTEM
  ibrav = 0, nat = 14, ntyp = 3
/
ATOMIC_SPECIES
Pm 145.00 Pm.upf
Sn 118.71 Sn.upf
Pd 106.42 Pd.upf
CELL_PARAMETERS angstrom
-4.369 4.369 4.369
4.369 -4.369 4.369
4.369 4.369 -4.369
ATOMIC_POSITIONS crystal
Pm 0.000 0.003 0.500
Pm 0.003 0.500 0.000
Pm 0.497 0.497 0.497
Pm 0.500 0.000 0.003
Sn 0.000 0.594 0.500
Sn 0.500 0.000 0.594
Sn 0.594 0.500 0.000
Sn 0.906 0.906 0.906
Pd 0.018 0.250 0.268
Pd 0.232 0.482 0.750
Pd 0.250 0.268 0.018
Pd 0.268 0.018 0.250
Pd 0.482 0.750 0.232
Pd 0.750 0.232 0.482
```

Energy of formation ... -4.89 eV/f.u.
Space group ... I2_13

=====

[16]
# PmSn4Pd

An optimized crystal structure of PmSn4Pd (GGA-PBE, the Alexandria database). Values from VASP.

```
&SYSTEM
  ibrav = 0, nat = 12, ntyp = 3
/
ATOMIC_SPECIES
Pm 145.00 Pm.upf
Sn 118.71 Sn.upf
Pd 106.42 Pd.upf
CELL_PARAMETERS angstrom
2.249 -14.804 0.000
2.249 14.804 0.000
0.000 0.000 4.598
ATOMIC_POSITIONS crystal
Pm 0.194 0.806 0.000
Pm 0.806 0.194 0.000
Sn 0.000 0.000 0.500
Sn 0.113 0.887 0.500
Sn 0.284 0.716 0.500
Sn 0.388 0.612 0.000
Sn 0.500 0.500 0.000
Sn 0.612 0.388 0.000
Sn 0.716 0.284 0.500
Sn 0.887 0.113 0.500
Pd 0.445 0.555 0.500
Pd 0.555 0.445 0.500
```

Energy of formation ... -2.83 eV/f.u.
Space group ... Cmmm

=====

[17]
# Pm8Sn6Pd

An optimized crystal structure of Pm8Sn6Pd (GGA-PBE, the Alexandria database). Values from VASP.

```
&SYSTEM
  ibrav = 0, nat = 15, ntyp = 3
/
ATOMIC_SPECIES
Pm 145.00 Pm.upf
Sn 118.71 Sn.upf
Pd 106.42 Pd.upf
CELL_PARAMETERS angstrom
4.559 2.632 6.498
-4.559 2.632 6.498
0.000 -5.264 6.498
ATOMIC_POSITIONS crystal
Pm 0.055 0.396 0.733
Pm 0.164 0.164 0.164
Pm 0.267 0.945 0.604
Pm 0.396 0.733 0.055
Pm 0.604 0.267 0.945
Pm 0.733 0.055 0.396
Pm 0.836 0.836 0.836
Pm 0.945 0.604 0.267
Sn 0.126 0.750 0.438
Sn 0.250 0.562 0.874
Sn 0.438 0.126 0.750
Sn 0.562 0.874 0.250
Sn 0.750 0.438 0.126
Sn 0.874 0.250 0.562
Pd 0.500 0.500 0.500
```

Energy of formation ... -7.23 eV/f.u.
Space group ... R-3

=====

[18]
# Pm12SnPd6

An optimized crystal structure of Pm12SnPd6 (GGA-PBE, the Alexandria database). Values from VASP.

```
&SYSTEM
  ibrav = 0, nat = 19, ntyp = 3
/
ATOMIC_SPECIES
Pm 145.00 Pm.upf
Sn 118.71 Sn.upf
Pd 106.42 Pd.upf
CELL_PARAMETERS angstrom
7.260 4.192 3.051
-7.260 4.192 3.051
0.000 -8.384 3.051
ATOMIC_POSITIONS crystal
Pm 0.057 0.115 0.353
Pm 0.115 0.353 0.057
Pm 0.178 0.644 0.470
Pm 0.353 0.057 0.115
Pm 0.356 0.530 0.822
Pm 0.470 0.178 0.644
Pm 0.530 0.822 0.356
Pm 0.644 0.470 0.178
Pm 0.647 0.943 0.885
Pm 0.822 0.356 0.530
Pm 0.885 0.647 0.943
Pm 0.943 0.885 0.647
Sn 0.500 0.500 0.500
Pd 0.147 0.719 0.789
Pd 0.211 0.853 0.281
Pd 0.281 0.211 0.853
Pd 0.719 0.789 0.147
Pd 0.789 0.147 0.719
Pd 0.853 0.281 0.211
```

Energy of formation ... -8.96 eV/f.u.
Space group ... R-3
Energy above the lowest structure with this stoichiometry ... 0.114 eV per atom

=====

[19]
# PmSn3Pd2

An optimized crystal structure of PmSn3Pd2 (GGA-PBE, the Alexandria database). Values from VASP.

```
&SYSTEM
  ibrav = 0, nat = 18, ntyp = 3
/
ATOMIC_SPECIES
Pm 145.00 Pm.upf
Sn 118.71 Sn.upf
Pd 106.42 Pd.upf
CELL_PARAMETERS angstrom
8.824 -2.268 0.000
8.824 2.268 0.000
-3.043 0.000 10.317
ATOMIC_POSITIONS crystal
Pm 0.000 0.000 0.000
Pm 0.156 0.156 0.705
Pm 0.844 0.844 0.295
Sn 0.045 0.045 0.349
Sn 0.221 0.221 0.367
Sn 0.338 0.338 0.071
Sn 0.371 0.371 0.820
Sn 0.500 0.500 0.500
Sn 0.629 0.629 0.180
Sn 0.662 0.662 0.929
Sn 0.779 0.779 0.633
Sn 0.955 0.955 0.651
Pd 0.191 0.191 0.095
Pd 0.356 0.356 0.551
Pd 0.485 0.485 0.223
Pd 0.515 0.515 0.777
Pd 0.644 0.644 0.449
Pd 0.809 0.809 0.905
```

Energy of formation ... -3.54 eV/f.u.
Space group ... C2/m
Energy above the lowest structure with this stoichiometry ... 0.000 eV per atom